A geometry-optimized SrAcTeN structure, computed with PBE-GGA.

CIF file:
```
data_SrAcTeN
_chemical_formula_sum 'Sr3 Ac3 Te3 N3'
_space_group_name_H-M_alt 'R 3 m'
_space_group_IT_number 160
_space_group_name_Hall 'R 3 -2"'
_cell_length_a 4.0567
_cell_length_b 4.0567
_cell_length_c 23.6348
_cell_angle_alpha 90.00
_cell_angle_beta 90.00
_cell_angle_gamma 120.00
loop_
_atom_site_label
_atom_site_type_symbol
_atom_site_fract_x
_atom_site_fract_y
_atom_site_fract_z
Sr1 Sr 0.0000 0.0000 0.0000
Ac1 Ac 0.0000 0.0000 0.8634
Te1 Te 0.0000 0.0000 0.4256
N1 N 0.0000 0.0000 0.5822
```

Results
Formation energy from raw total energies, kJ/mol of formula units: -397
Final energy, eV/atom: -5.342
Magnetization, μB/cell: 0.0

=====

A geometry-optimized Sr2Ac4Te3N2 structure, computed with PBE-GGA.

CIF file:
```
data_Sr2Ac4Te3N2
_chemical_formula_sum 'Sr4 Ac8 Te6 N4'
_space_group_name_H-M_alt 'I 4/m m m'
_space_group_IT_number 139
_space_group_name_Hall '-I 4 2'
_cell_length_a 5.063
_cell_length_b 5.063
_cell_length_c 27.588
_cell_angle_alpha 90.00
_cell_angle_beta 90.00
_cell_angle_gamma 90.00
loop_
_atom_site_label
_atom_site_type_symbol
_atom_site_fract_x
_atom_site_fract_y
_atom_site_fract_z
Sr1 Sr 0.000 0.000 0.195
Ac1 Ac 0.000 0.500 0.084
Te1 Te 0.000 0.000 0.321
Te2 Te 0.000 0.000 0.500
N1 N 0.000 0.000 0.107
```

Results
Formation energy from raw total energies, kJ/mol of formula units: -1192
Final energy, eV/atom: -5.294
Magnetization, μB/cell: 0.0

=====

A geometry-optimized SrAc3Th2N6 structure, computed with PBE-GGA.

CIF file:
```
data_SrAc3Th2N6
_chemical_formula_sum 'Sr2 Ac6 Th4 N12'
_space_group_name_H-M_alt 'C 1 2/m 1'
_space_group_IT_number 12
_cell_length_a 16.587
_cell_length_b 3.805
_cell_length_c 7.617
_cell_angle_alpha 90.00
_cell_angle_beta 103.68
_cell_angle_gamma 90.00
loop_
_space_group_symop_operation_xyz
'x,y,z'
'-x,-y,-z'
'-x,y,-z'
'x,-y,z'
'x+1/2,y+1/2,z'
'-x+1/2,-y+1/2,-z'
'-x+1/2,y+1/2,-z'
'x+1/2,-y+1/2,z'
loop_
_atom_site_label
_atom_site_type_symbol
_atom_site_fract_x
_atom_site_fract_y
_atom_site_fract_z
Sr1 Sr 0.000 0.000 0.000
Ac1 Ac 0.000 0.000 0.500
Ac2 Ac 0.166 0.500 0.835
Th1 Th 0.166 0.500 0.331
N1 N 0.017 0.500 0.269
N2 N 0.174 0.000 0.105
N3 N 0.175 0.000 0.565
```

Results
Formation energy from raw total energies, kJ/mol of formula units: -1423
Final energy, eV/atom: -7.796
Magnetization, μB/cell: 0.0

=====

A geometry-optimized SrAc2ThN4 structure, computed with PBE-GGA.

CIF file:
```
data_SrAc2ThN4
_chemical_formula_sum 'Sr4 Ac8 Th4 N16'
_space_group_name_H-M_alt 'F m m 2'
_space_group_IT_number 42
_space_group_name_Hall 'F 2 -2'
_cell_length_a 7.695
_cell_length_b 10.854
_cell_length_c 7.681
_cell_angle_alpha 90.00
_cell_angle_beta 90.00
_cell_angle_gamma 90.00
loop_
_atom_site_label
_atom_site_type_symbol
_atom_site_fract_x
_atom_site_fract_y
_atom_site_fract_z
Sr1 Sr 0.000 0.000 0.000
Ac1 Ac 0.250 0.250 0.253
Th1 Th 0.000 0.000 0.514
N1 N 0.000 0.223 0.489
N2 N 0.231 0.000 0.719
```

Results
Formation energy from raw total energies, kJ/mol of formula units: -911
Final energy, eV/atom: -7.507
Magnetization, μB/cell: 0.0

=====

A geometry-optimized SrAc2TlN structure, computed with PBE-GGA.

CIF file:
```
data_SrAc2TlN
_chemical_formula_sum 'Sr1 Ac2 Tl1 N1'
_space_group_name_H-M_alt 'P 4/m m m'
_space_group_IT_number 123
_space_group_name_Hall '-P 4 2'
_cell_length_a 5.349
_cell_length_b 5.349
_cell_length_c 5.321
_cell_angle_alpha 90.00
_cell_angle_beta 90.00
_cell_angle_gamma 90.00
loop_
_atom_site_label
_atom_site_type_symbol
_atom_site_fract_x
_atom_site_fract_y
_atom_site_fract_z
Sr1 Sr 0.000 0.000 0.000
Ac1 Ac 0.000 0.500 0.500
Tl1 Tl 0.500 0.500 0.000
N1 N 0.000 0.000 0.500
```

Results
Formation energy from raw total energies, kJ/mol of formula units: -305
Final energy, eV/atom: -4.751
Magnetization, μB/cell: 0.0

=====

A geometry-optimized Sr2AcTlN structure, computed with PBE-GGA.

CIF file:
```
data_Sr2AcTlN
_chemical_formula_sum 'Sr2 Ac1 Tl1 N1'
_space_group_name_H-M_alt 'P 4/m m m'
_space_group_IT_number 123
_space_group_name_Hall '-P 4 2'
_cell_length_a 5.359
_cell_length_b 5.359
_cell_length_c 5.246
_cell_angle_alpha 90.00
_cell_angle_beta 90.00
_cell_angle_gamma 90.00
loop_
_atom_site_label
_atom_site_type_symbol
_atom_site_fract_x
_atom_site_fract_y
_atom_site_fract_z
Sr1 Sr 0.000 0.500 0.000
Ac1 Ac 0.000 0.000 0.500
Tl1 Tl 0.500 0.500 0.500
N1 N 0.000 0.000 0.000
```

Results
Formation energy from raw total energies, kJ/mol of formula units: -278
Final energy, eV/atom: -4.209
Magnetization, μB/cell: 0.0

=====

A geometry-optimized Sr2AcUN4 structure, computed with PBE-GGA.

CIF file:
```
data_Sr2AcUN4
_chemical_formula_sum 'Sr2 Ac1 U1 N4'
_space_group_name_H-M_alt 'P 1 2/m 1'
_space_group_IT_number 10
_cell_length_a 6.426
_cell_length_b 3.710
_cell_length_c 6.512
_cell_angle_alpha 90.00
_cell_angle_beta 110.47
_cell_angle_gamma 90.00
loop_
_space_group_symop_operation_xyz
'x,y,z'
'-x,-y,-z'
'-x,y,-z'
'x,-y,z'
loop_
_atom_site_label
_atom_site_type_symbol
_atom_site_fract_x
_atom_site_fract_y
_atom_site_fract_z
Sr1 Sr 0.000 0.000 0.000
Sr2 Sr 0.000 0.500 0.500
Ac1 Ac 0.500 0.000 0.500
U1 U 0.500 0.500 0.000
N1 N 0.294 0.000 0.789
N2 N 0.303 0.500 0.207
```

Results
Formation energy from raw total energies, kJ/mol of formula units: -832
Final energy, eV/atom: -7.585
Magnetization, μB/cell: 0.8

=====

A geometry-optimized Sr2AcU3N8 structure, computed with PBE-GGA.

CIF file:
```
data_Sr2AcU3N8
_chemical_formula_sum 'Sr6 Ac3 U9 N24'
_space_group_name_H-M_alt 'R 3 m'
_space_group_IT_number 160
_space_group_name_Hall 'R 3 -2"'
_cell_length_a 7.0616
_cell_length_b 7.0616
_cell_length_c 17.6439
_cell_angle_alpha 90.00
_cell_angle_beta 90.00
_cell_angle_gamma 120.00
loop_
_atom_site_label
_atom_site_type_symbol
_atom_site_fract_x
_atom_site_fract_y
_atom_site_fract_z
Sr1 Sr 0.0000 0.0000 0.0000
Sr2 Sr 0.0000 0.0000 0.3822
Ac1 Ac 0.0000 0.0000 0.6124
U1 U 0.1673 0.3347 0.8323
N1 N 0.0000 0.0000 0.2277
N2 N 0.0000 0.0000 0.7693
N3 N 0.0461 0.5231 0.7734
N4 N 0.1890 0.3781 0.5610
```

Results
Formation energy from raw total energies, kJ/mol of formula units: -1724
Final energy, eV/atom: -8.986
Magnetization, μB/cell: 3.2

=====

A geometry-optimized SrAc2UN4 structure, computed with PBE-GGA.

CIF file:
```
data_SrAc2UN4
_chemical_formula_sum 'Sr4 Ac8 U4 N16'
_space_group_name_H-M_alt 'C m c m'
_space_group_IT_number 63
_space_group_name_Hall '-C 2c 2'
_cell_length_a 3.761
_cell_length_b 13.067
_cell_length_c 13.324
_cell_angle_alpha 90.00
_cell_angle_beta 90.00
_cell_angle_gamma 90.00
loop_
_atom_site_label
_atom_site_type_symbol
_atom_site_fract_x
_atom_site_fract_y
_atom_site_fract_z
Sr1 Sr 0.000 0.157 0.250
Ac1 Ac 0.000 0.369 0.016
U1 U 0.000 0.116 0.750
N1 N 0.000 0.000 0.000
N2 N 0.000 0.233 0.632
N3 N 0.000 0.473 0.250
```

Results
Formation energy from raw total energies, kJ/mol of formula units: -687
Final energy, eV/atom: -7.701
Magnetization, μB/cell: 6.2

=====

A geometry-optimized SrAc2U3N8 structure, computed with PBE-GGA.

CIF file:
```
data_SrAc2U3N8
_chemical_formula_sum 'Sr3 Ac6 U9 N24'
_space_group_name_H-M_alt 'R 3 m'
_space_group_IT_number 160
_space_group_name_Hall 'R 3 -2"'
_cell_length_a 7.0860
_cell_length_b 7.0860
_cell_length_c 18.1265
_cell_angle_alpha 90.00
_cell_angle_beta 90.00
_cell_angle_gamma 120.00
loop_
_atom_site_label
_atom_site_type_symbol
_atom_site_fract_x
_atom_site_fract_y
_atom_site_fract_z
Sr1 Sr 0.0000 0.0000 0.0000
Ac1 Ac 0.0000 0.0000 0.2305
Ac2 Ac 0.0000 0.0000 0.6164
U1 U 0.1674 0.3349 0.4487
N1 N 0.0000 0.0000 0.3874
N2 N 0.0000 0.0000 0.8423
N3 N 0.0485 0.5242 0.3877
N4 N 0.1884 0.3769 0.1790
```

Results
Formation energy from raw total energies, kJ/mol of formula units: -1730
Final energy, eV/atom: -9.164
Magnetization, μB/cell: 6.1

=====

A geometry-optimized SrAcVN3 structure, computed with PBE-GGA.

CIF file:
```
data_SrAcVN3
_chemical_formula_sum 'Sr4 Ac4 V4 N12'
_space_group_name_H-M_alt 'C 1 2/m 1'
_space_group_IT_number 12
_cell_length_a 13.942
_cell_length_b 3.942
_cell_length_c 7.570
_cell_angle_alpha 90.00
_cell_angle_beta 106.14
_cell_angle_gamma 90.00
loop_
_space_group_symop_operation_xyz
'x,y,z'
'-x,-y,-z'
'-x,y,-z'
'x,-y,z'
'x+1/2,y+1/2,z'
'-x+1/2,-y+1/2,-z'
'-x+1/2,y+1/2,-z'
'x+1/2,-y+1/2,z'
loop_
_atom_site_label
_atom_site_type_symbol
_atom_site_fract_x
_atom_site_fract_y
_atom_site_fract_z
Sr1 Sr 0.143 0.000 0.067
Ac1 Ac 0.154 0.000 0.585
V1 V 0.001 0.500 0.282
N1 N 0.002 0.000 0.298
N2 N 0.142 0.500 0.823
N3 N 0.143 0.500 0.313
```

Results
Formation energy from raw total energies, kJ/mol of formula units: -502
Final energy, eV/atom: -7.515
Magnetization, μB/cell: 0.0

=====

A geometry-optimized Sr2AcVN4 structure, computed with PBE-GGA.

CIF file:
```
data_Sr2AcVN4
_chemical_formula_sum 'Sr4 Ac2 V2 N8'
_space_group_name_H-M_alt 'P m n 21'
_space_group_IT_number 31
_cell_length_a 7.562
_cell_length_b 7.123
_cell_length_c 5.689
_cell_angle_alpha 90.00
_cell_angle_beta 90.00
_cell_angle_gamma 90.00
loop_
_space_group_symop_operation_xyz
'x,y,z'
'-x+1/2,-y,z+1/2'
'-x,y,z'
'x+1/2,-y,z+1/2'
loop_
_atom_site_label
_atom_site_type_symbol
_atom_site_fract_x
_atom_site_fract_y
_atom_site_fract_z
Sr1 Sr 0.241 0.159 0.000
Ac1 Ac 0.000 0.383 0.502
V1 V 0.000 0.682 0.032
N1 N 0.000 0.423 0.973
N2 N 0.000 0.693 0.349
N3 N 0.210 0.800 0.943
```

Results
Formation energy from raw total energies, kJ/mol of formula units: -790
Final energy, eV/atom: -7.260
Magnetization, μB/cell: 0.0

=====

A geometry-optimized Sr2AcWN4 structure, computed with PBE-GGA.

CIF file:
```
data_Sr2AcWN4
_chemical_formula_sum 'Sr4 Ac2 W2 N8'
_space_group_name_H-M_alt 'P m n 21'
_space_group_IT_number 31
_cell_length_a 7.857
_cell_length_b 7.195
_cell_length_c 5.820
_cell_angle_alpha 90.00
_cell_angle_beta 90.00
_cell_angle_gamma 90.00
loop_
_space_group_symop_operation_xyz
'x,y,z'
'-x+1/2,-y,z+1/2'
'-x,y,z'
'x+1/2,-y,z+1/2'
loop_
_atom_site_label
_atom_site_type_symbol
_atom_site_fract_x
_atom_site_fract_y
_atom_site_fract_z
Sr1 Sr 0.249 0.153 0.000
Ac1 Ac 0.000 0.641 0.006
W1 W 0.000 0.334 0.530
N1 N 0.000 0.328 0.853
N2 N 0.000 0.594 0.457
N3 N 0.204 0.211 0.438
```

Results
Formation energy from raw total energies, kJ/mol of formula units: -718
Final energy, eV/atom: -7.646
Magnetization, μB/cell: 2.0

=====

A geometry-optimized SrAcZnN2 structure, computed with PBE-GGA.

CIF file:
```
data_SrAcZnN2
_chemical_formula_sum 'Sr2 Ac2 Zn2 N4'
_space_group_name_H-M_alt 'P c c m'
_space_group_IT_number 49
_cell_length_a 5.515
_cell_length_b 5.833
_cell_length_c 7.183
_cell_angle_alpha 90.00
_cell_angle_beta 90.00
_cell_angle_gamma 90.00
loop_
_space_group_symop_operation_xyz
'x,y,z'
'-x,-y,-z'
'-x,-y,z'
'x,y,-z'
'x,-y,-z+1/2'
'-x,y,z+1/2'
'-x,y,-z+1/2'
'x,-y,z+1/2'
loop_
_atom_site_label
_atom_site_type_symbol
_atom_site_fract_x
_atom_site_fract_y
_atom_site_fract_z
Sr1 Sr 0.000 0.000 0.250
Ac1 Ac 0.500 0.500 0.250
Zn1 Zn 0.500 0.000 0.000
N1 N 0.284 0.246 0.000
```

Results
Formation energy from raw total energies, kJ/mol of formula units: -217
Final energy, eV/atom: -5.193
Magnetization, μB/cell: 0.0

=====

A geometry-optimized Ac3Ta5N12 structure, computed with PBE-GGA.

CIF file:
```
data_Ac3Ta5N12
_chemical_formula_sum 'Ac24 Ta40 N96'
_space_group_name_H-M_alt 'I a -3 d'
_space_group_IT_number 230
_space_group_name_Hall '-I 4bd 2c 3'
_cell_length_a 13.465
_cell_length_b 13.465
_cell_length_c 13.465
_cell_angle_alpha 90.00
_cell_angle_beta 90.00
_cell_angle_gamma 90.00
loop_
_atom_site_label
_atom_site_type_symbol
_atom_site_fract_x
_atom_site_fract_y
_atom_site_fract_z
Ac1 Ac 0.000 0.250 0.125
Ta1 Ta 0.000 0.000 0.000
Ta2 Ta 0.000 0.250 0.375
N1 N 0.033 0.046 0.647
```

Results
Formation energy from raw total energies, kJ/mol of formula units: -2033
Final energy, eV/atom: -9.628
Magnetization, μB/cell: 0.0

=====

A geometry-optimized Ac3Ta2N7 structure, computed with PBE-GGA.

CIF file:
```
data_Ac3Ta2N7
_chemical_formula_sum 'Ac6 Ta4 N14'
_space_group_name_H-M_alt 'I 4/m m m'
_space_group_IT_number 139
_space_group_name_Hall '-I 4 2'
_cell_length_a 4.154
_cell_length_b 4.154
_cell_length_c 21.396
_cell_angle_alpha 90.00
_cell_angle_beta 90.00
_cell_angle_gamma 90.00
loop_
_atom_site_label
_atom_site_type_symbol
_atom_site_fract_x
_atom_site_fract_y
_atom_site_fract_z
Ac1 Ac 0.000 0.000 0.000
Ac2 Ac 0.000 0.000 0.183
Ta1 Ta 0.000 0.000 0.402
N1 N 0.000 0.000 0.304
N2 N 0.000 0.000 0.500
N3 N 0.000 0.500 0.096
```

Results
Formation energy from raw total energies, kJ/mol of formula units: -1290
Final energy, eV/atom: -8.973
Magnetization, μB/cell: 0.0
Energy above the lowest structure with this stoichiometry, eV per atom: 0.0000

=====

A geometry-optimized Ac2TaN structure, computed with PBE-GGA.

CIF file:
```
data_Ac2TaN
_chemical_formula_sum 'Ac6 Ta3 N3'
_space_group_name_H-M_alt 'R -3 m'
_space_group_IT_number 166
_space_group_name_Hall '-R 3 2"'
_cell_length_a 3.5182
_cell_length_b 3.5182
_cell_length_c 29.1122
_cell_angle_alpha 90.00
_cell_angle_beta 90.00
_cell_angle_gamma 120.00
loop_
_atom_site_label
_atom_site_type_symbol
_atom_site_fract_x
_atom_site_fract_y
_atom_site_fract_z
Ac1 Ac 0.0000 0.0000 0.1110
Ta1 Ta 0.0000 0.0000 0.0000
N1 N 0.0000 0.0000 0.5000
```

Results
Formation energy from raw total energies, kJ/mol of formula units: 148
Final energy, eV/atom: -6.715
Magnetization, μB/cell: 4.1

=====

A geometry-optimized AcTa2N5 structure, computed with PBE-GGA.

CIF file:
```
data_AcTa2N5
_chemical_formula_sum 'Ac4 Ta8 N20'
_space_group_name_H-M_alt 'I 4/m c m'
_space_group_IT_number 140
_space_group_name_Hall '-I 4 2c'
_cell_length_a 5.914
_cell_length_b 5.914
_cell_length_c 11.647
_cell_angle_alpha 90.00
_cell_angle_beta 90.00
_cell_angle_gamma 90.00
loop_
_atom_site_label
_atom_site_type_symbol
_atom_site_fract_x
_atom_site_fract_y
_atom_site_fract_z
Ac1 Ac 0.000 0.000 0.250
Ta1 Ta 0.166 0.334 0.000
N1 N 0.000 0.000 0.000
N2 N 0.146 0.354 0.385
```

Results
Formation energy from raw total energies, kJ/mol of formula units: -511
Final energy, eV/atom: -9.342
Magnetization, μB/cell: 4.0